First-principles (PBE) data for CuPPb after structural relaxation, as listed in Alexandria.

Structure (POSCAR):
```
CuPPb
1.0
-3.922 2.062 0.498
-3.760 -2.018 -1.293
-2.912 -1.454 3.048
Pb P Cu
1 1 1
Cartesian
-5.297 -0.705 1.127 Pb
0.000 0.000 0.000 P
-2.649 -0.352 0.563 Cu
```

Its symmetry is F-43m. The relative energy among the computed polymorphs is 81 kJ/mol of formula units. For the calculated formation energy, the calculation gives 5.79 kcal/mol of atoms.